Material: Ca2AgSn4Ir3
Method: DFT, PBE
State: optimized geometry

Cell and atoms, written as POSCAR:
```
Ca2AgSn4Ir3
1.0
4.526 0.000 0.000
0.000 4.526 0.000
0.000 0.000 11.057
Ca Ag Sn Ir
2 1 4 3
Cartesian
2.263 0.000 2.742 Ca
0.000 2.263 8.315 Ca
2.263 2.263 5.529 Ag
2.263 2.263 0.000 Sn
0.000 0.000 0.000 Sn
2.263 0.000 7.022 Sn
0.000 2.263 4.036 Sn
0.000 0.000 5.529 Ir
2.263 0.000 9.626 Ir
0.000 2.263 1.432 Ir
```

Properties
* spin magnetization: 0.000 μB/atom
* volume: 226.5 Å³/cell
* SG: P-4m2, No. 115
* energy of formation: -0.378 eV/atom

---

Material: CaAgSnIr2
Method: DFT, PBE
State: optimized geometry

Cell and atoms, written as POSCAR:
```
CaAgSnIr2
1.0
-2.493 3.966 -1.628
-2.609 0.081 4.192
3.393 2.977 2.055
Ca Ir Sn Ag
1 2 1 1
Cartesian
-1.305 0.040 2.096 Ca
1.697 1.488 1.027 Ir
-1.247 1.983 -0.814 Ir
-0.855 3.512 2.309 Sn
0.000 0.000 0.000 Ag
```

Properties
* spin magnetization: 0.000 μB/atom
* volume: 121.5 Å³/cell
* SG: P4/mmm, No. 123
* energy of formation: 1.068 eV/atom

---

Material: CaThAgIr
Method: DFT, PBE
State: optimized geometry

Cell and atoms, written as POSCAR:
```
CaThAgIr
1.0
-4.294 -2.418 1.242
-1.208 -4.373 -2.291
0.201 -4.367 2.592
Ca Ir Ag Th
1 1 1 1
Cartesian
-2.650 -5.579 0.771 Ca
-3.975 -8.368 1.157 Ir
-1.325 -2.789 0.386 Ag
0.000 0.000 0.000 Th
```

Properties
* spin magnetization: 0.000 μB/atom
* volume: 92.8 Å³/cell
* SG: F-43m, No. 216
* energy of formation: -0.376 eV/atom

---

Material: CaTmAgIr
Method: DFT, PBE
State: optimized geometry

Cell and atoms, written as POSCAR:
```
CaTmAgIr
1.0
4.932 0.000 0.000
2.466 4.271 0.000
2.466 1.424 4.027
Ca Ir Tm Ag
1 1 1 1
Cartesian
4.932 2.847 2.013 Ca
7.398 4.271 3.020 Ir
0.000 0.000 0.000 Tm
2.466 1.424 1.007 Ag
```

Properties
* spin magnetization: 0.000 μB/atom
* volume: 84.8 Å³/cell
* SG: F-43m, No. 216
* energy of formation: -0.456 eV/atom

---

Material: Ca2Zn5AgIr2
Method: DFT, PBE
State: optimized geometry

Cell and atoms, written as POSCAR:
```
Ca2Zn5AgIr2
1.0
3.931 0.000 0.000
0.000 9.758 0.000
0.000 0.000 9.758
Ca Zn Ag Ir
4 10 2 4
Cartesian
0.000 6.567 1.689 Ca
0.000 3.190 8.069 Ca
0.000 1.689 3.190 Ca
0.000 8.069 6.567 Ca
1.966 2.034 0.630 Zn
1.966 7.724 9.128 Zn
1.966 0.630 7.724 Zn
1.966 6.913 4.249 Zn
1.966 9.128 2.034 Zn
1.966 2.845 5.509 Zn
1.966 5.509 6.913 Zn
1.966 4.249 2.845 Zn
1.966 4.879 0.000 Zn
1.966 0.000 4.879 Zn
0.000 0.000 0.000 Ag
0.000 4.879 4.879 Ag
0.000 1.210 6.089 Ir
0.000 8.548 3.669 Ir
0.000 6.089 8.548 Ir
0.000 3.669 1.210 Ir
```

Properties
* spin magnetization: 0.000 μB/atom
* volume: 374.3 Å³/cell
* SG: P4/mbm, No. 127
* energy of formation: -0.223 eV/atom

---

Material: KCa4Ag
Method: DFT, PBE
State: optimized geometry

Cell and atoms, written as POSCAR:
```
KCa4Ag
1.0
1.068 -7.128 0.190
-3.337 -4.014 4.973
-5.292 -4.491 -1.950
K Ca Ag
1 4 1
Cartesian
-5.671 -11.725 2.410 K
-2.296 -9.433 1.299 Ca
-5.489 -8.109 0.225 Ca
-4.507 -7.870 3.700 Ca
-2.832 -5.854 1.203 Ca
0.000 0.000 0.000 Ag
```

Properties
* spin magnetization: 0.000 μB/atom
* volume: 265.0 Å³/cell
* SG: F-43m, No. 216
* energy of formation: 0.344 eV/atom

---

Material: KCa2Ag2
Method: DFT, PBE
State: optimized geometry

Cell and atoms, written as POSCAR:
```
KCa2Ag2
1.0
-5.401 -1.386 -0.393
0.098 -1.872 5.266
-4.218 3.907 4.434
Ca K Ag
2 1 2
Cartesian
-3.152 0.138 3.074 Ca
-6.370 0.510 6.233 Ca
0.000 0.000 0.000 K
-6.136 0.446 3.239 Ag
-3.386 0.203 6.069 Ag
```

Properties
* spin magnetization: 0.000 μB/atom
* volume: 190.3 Å³/cell
* ΔE to the lowest computed polymorph: 172 meV/atom
* SG: I4/mmm, No. 139
* energy of formation: 0.037 eV/atom

---

Material: KCaAg
Method: DFT, PBE
State: optimized geometry

Cell and atoms, written as POSCAR:
```
KCaAg
1.0
-2.613 4.383 1.965
-4.409 1.942 -2.586
-4.953 -0.551 2.250
Ag Ca K
1 1 1
Cartesian
-5.987 2.887 0.814 Ag
-8.981 4.330 1.222 Ca
0.000 0.000 0.000 K
```

Properties
* spin magnetization: 0.000 μB/atom
* volume: 115.6 Å³/cell
* ΔE to the lowest computed polymorph: 412 meV/atom
* SG: F-43m, No. 216
* energy of formation: 0.333 eV/atom